Material: Sr2LaSi
Method: DFT, PBE-GGA
State: optimized geometry

abc: 5.0176 4.3220 7.2972
angles: 65.99 90.00 90.00
With the nearest neighbours (Å) after each atom.
Element x y z (fractional)
Sr1 0.0000 0.5895 0.5345  2 Si 3.18, 1 Sr 3.32
Sr2 0.0000 0.9105 0.9655  2 Si 3.18, 1 Sr 3.32
Si1 0.5000 0.7500 0.7500  4 Sr 3.18, 2 La 3.40
La1 0.5000 0.2500 0.2500  2 Si 3.40, 4 Sr 3.73

Values from the calculation:
D(E_F) = 4.58 states/eV per cell
ΔE_f (raw) = 50.1 meV/atom
symmetry = P2/m
total energy = -13.514 eV per formula unit

Material: Hg2RhAu
Method: DFT, PBE-GGA
State: optimized geometry

abc: 3.1255 3.8860 6.1196
angles: 90.00 90.00 90.00
With the nearest neighbours (Å) after each atom.
Element x y z (fractional)
Au1 0.5000 0.5000 0.5000  8 Hg 2.96, 2 Rh 3.06, 2 Au 3.13
Hg1 0.0000 0.0000 0.7619  4 Rh 2.89, 4 Hg 2.91-3.21, 4 Au 2.96
Rh1 0.5000 0.5000 0.0000  8 Hg 2.89, 2 Au 3.06, 2 Rh 3.13
Hg2 0.0000 0.0000 0.2381  4 Rh 2.89, 4 Hg 2.91-3.21, 4 Au 2.96

Values from the calculation:
D(E_F) = 1.32 states/eV per cell
symmetry = Pmmm
total energy = -10.696 eV per formula unit
energy of formation = 134 meV per atom

Material: LiPuTlAg
Method: DFT, PBE-GGA
State: optimized geometry

abc: 5.1175 5.1175 5.1175
angles: 60.00 60.00 60.00
With the nearest neighbours (Å) after each atom.
Element x y z (fractional)
Li1 0.2500 0.2500 0.2500  4 Tl 3.13, 4 Ag 3.13
Pu1 0.7500 0.7500 0.7500  4 Tl 3.13, 4 Ag 3.13
Ag1 0.0000 0.0000 0.0000  4 Pu 3.13, 4 Li 3.13
Tl1 0.5000 0.5000 0.5000  4 Li 3.13, 4 Pu 3.13

Values from the calculation:
D(E_F) = 14.91 states/eV per cell
symmetry = F-43m
total energy = -21.310 eV per formula unit
energy of formation = 38 meV per atom

Material: MnVB2
Method: DFT, PBE-GGA
State: optimized geometry

abc: 3.0329 3.0329 5.0238
angles: 72.43 72.43 60.00
With the nearest neighbours (Å) after each atom.
Element x y z (fractional)
Mn1 0.0000 0.0000 0.0000  6 B 2.08
B1 0.7456 0.7456 0.7631  3 Mn 2.08, 3 V 2.15
B2 0.2544 0.2544 0.2369  3 Mn 2.08, 3 V 2.15
V1 0.5000 0.5000 0.5000  6 B 2.15

Values from the calculation:
D(E_F) = 1.42 states/eV per cell
symmetry = R-3m
total energy = -32.552 eV per formula unit
energy of formation = -227 meV per atom
energy above the most stable polymorph in this dataset = 0.398 eV/atom